Tl3MoSe after structural relaxation. Source: Alexandria via LeMat-Bulk, functional PBE.

Structure (POSCAR):
```
Tl3MoSe
1.0
5.7977 0.0000 0.0000
0.0000 5.7977 0.0000
0.0000 0.0000 5.7977
Tl Mo Se
3 1 1
Cartesian
0.0000 0.0000 2.8988 Tl
0.0000 2.8988 0.0000 Tl
2.8988 0.0000 0.0000 Tl
2.8988 2.8988 2.8988 Mo
0.0000 0.0000 0.0000 Se
```

Summary:
distance to the lowest polymorph of the same formula	2.08	eV/f.u.
final energy	-3.187	eV per atom
formation energy (no corrections)	1.0957	eV/atom
symmetry	Pm-3m, No. 221
total magnetization	0.9968	μB/atom